First-principles (GGA-PBE) data for a relaxed Pm12TlSi7 crystal, as listed in Alexandria.

Cell: 9.405 9.405 9.405 Å, 109.47 109.47 109.47°
Fractional coordinates of all 20 atoms:
Si  0.000  0.000  0.500
Si  0.000  0.500  0.000
Si  0.500  0.000  0.500
Si  0.500  0.500  0.000
Si  0.500  0.500  0.500
Si  0.000  0.500  0.500
Si  0.500  0.000  0.000
Tl  0.000  0.000  0.000
Pm  0.302  0.184  0.486
Pm  0.698  0.184  0.882
Pm  0.816  0.514  0.698
Pm  0.816  0.118  0.302
Pm  0.184  0.882  0.698
Pm  0.118  0.302  0.816
Pm  0.514  0.698  0.816
Pm  0.698  0.816  0.514
Pm  0.882  0.698  0.184
Pm  0.302  0.816  0.118
Pm  0.184  0.486  0.302
Pm  0.486  0.302  0.184

Summary:
VASP energy ... -103.44 eV for the cell shown
V ... 640.5 Å³/f.u.
SG ... Im-3
Formation energy from raw total energies ... -0.31 eV per atom


First-principles (GGA-PBE) data for a relaxed Pm6TlSi3 crystal, as listed in Alexandria.

Cell: 4.371 11.954 12.340 Å, 109.26 90.00 90.00°
Fractional coordinates of all 20 atoms:
Pm  0.250  0.073  0.901
Pm  0.250  0.621  0.975
Pm  0.750  0.749  0.771
Pm  0.250  0.542  0.412
Pm  0.750  0.379  0.025
Pm  0.250  0.298  0.730
Pm  0.250  0.881  0.565
Pm  0.750  0.458  0.588
Pm  0.750  0.702  0.270
Pm  0.750  0.119  0.435
Pm  0.250  0.251  0.229
Pm  0.750  0.927  0.099
Si  0.250  0.843  0.924
Si  0.750  0.484  0.830
Si  0.750  0.157  0.076
Si  0.250  0.516  0.170
Si  0.750  0.700  0.516
Si  0.250  0.300  0.484
Tl  0.750  0.084  0.704
Tl  0.250  0.916  0.296

Summary:
VASP energy ... -103.03 eV for the cell shown
V ... 304.3 Å³/f.u.
SG ... P2_1/m
Formation energy from raw total energies ... -0.44 eV per atom


> Which of these has the highest formation energy from raw total energies?

Pm12TlSi7